1.
{
  "formula": "BaLaGd",
  "functional": "PBE",
  "state": "relaxed",
  "lattice_angstrom": [[3.847, 0.000, 0.000], [-1.923, 3.331, 0.000], [0.000, 0.000, 9.602]],
  "species": ["Gd", "Ba", "La"],
  "fractional_positions": [[0.333, 0.667, 0.649], [0.000, 0.000, 0.994], [0.667, 0.333, 0.357]],
  "energy_ev_per_fu": -20.51,
  "space_group": "P3m1",
  "formation_energy_ev_per_atom": 0.14
}

***

2.
{
  "formula": "BaLaGd2",
  "functional": "PBE",
  "state": "relaxed",
  "lattice_angstrom": [[3.682, 0.000, 0.000], [1.841, 3.189, 0.000], [1.841, 1.063, 13.026]],
  "species": ["La", "Ba", "Gd", "Gd"],
  "fractional_positions": [[0.500, 0.500, 0.500], [0.000, 0.000, 0.000], [0.092, 0.092, 0.723], [0.908, 0.908, 0.277]],
  "energy_ev_per_fu": -34.21,
  "space_group": "R-3m",
  "formation_energy_ev_per_atom": 0.20
}

***

3.
{
  "formula": "BaLaGd",
  "functional": "PBE",
  "state": "relaxed",
  "lattice_angstrom": [[-0.904, -1.673, -3.317], [1.505, -3.286, 1.247], [-7.870, 0.225, 4.234]],
  "species": ["Ba", "Gd", "La"],
  "fractional_positions": [[0.002, 0.002, 0.003], [0.681, 0.681, 0.361], [0.318, 0.318, 0.635]],
  "energy_ev_per_fu": -20.57,
  "space_group": "I4mm",
  "formation_energy_ev_per_atom": 0.12
}

***

4.
{
  "formula": "BaLi2Gd",
  "functional": "PBE",
  "state": "relaxed",
  "lattice_angstrom": [[-2.331, 0.862, 3.136], [-3.245, -0.870, -2.173], [0.442, -7.859, 2.488]],
  "species": ["Gd", "Li", "Li", "Ba"],
  "fractional_positions": [[0.500, 0.500, 0.000], [0.000, 0.000, 0.793], [0.000, 0.000, 0.207], [0.500, 0.500, 0.500]],
  "energy_ev_per_fu": -19.25,
  "space_group": "P4/mmm",
  "formation_energy_ev_per_atom": 0.15
}

***

5.
{
  "formula": "BaLiGd",
  "functional": "PBE",
  "state": "relaxed",
  "lattice_angstrom": [[3.977, 0.000, 0.000], [0.000, 3.977, 0.000], [-1.989, -1.989, 6.965]],
  "species": ["Li", "Ba", "Gd"],
  "fractional_positions": [[0.650, 0.650, 0.301], [0.320, 0.320, 0.641], [0.029, 0.029, 0.059]],
  "energy_ev_per_fu": -17.37,
  "space_group": "I4mm",
  "formation_energy_ev_per_atom": 0.18
}